Material: Ac2Cu5Pd12
Method: DFT, PBE-GGA
State: relaxed

Crystal system: trigonal
Energy relative to the elements (kJ/mol of formula units): -707

Cell: 6.9264 6.9264 6.9264 Å, 82.49 82.49 82.49°
Last column: nearest neighbours and their distance in Å.
Fractional coordinates of all 19 atoms:
Pd 0.3414 0.3414 0.8629  3 Cu 2.59-2.80, 6 Pd 2.78-2.80
Pd 0.2923 0.0000 0.7077  4 Cu 2.63-2.94, 6 Pd 2.67-2.80
Pd 0.7077 0.2923 0.0000  4 Cu 2.63-2.94, 6 Pd 2.67-2.80
Pd 0.6586 0.6586 0.1371  3 Cu 2.59-2.80, 6 Pd 2.78-2.80
Pd 0.7077 0.0000 0.2923  4 Cu 2.63-2.94, 6 Pd 2.67-2.80
Pd 0.8629 0.3414 0.3414  3 Cu 2.59-2.80, 6 Pd 2.78-2.80
Pd 0.0000 0.7077 0.2923  4 Cu 2.63-2.94, 6 Pd 2.67-2.80
Pd 0.2923 0.7077 0.0000  4 Cu 2.63-2.94, 6 Pd 2.67-2.80
Pd 0.0000 0.2923 0.7077  4 Cu 2.63-2.94, 6 Pd 2.67-2.80
Pd 0.3414 0.8629 0.3414  3 Cu 2.59-2.80, 6 Pd 2.78-2.80
Pd 0.6586 0.1371 0.6586  3 Cu 2.59-2.80, 6 Pd 2.78-2.80
Pd 0.1371 0.6586 0.6586  3 Cu 2.59-2.80, 6 Pd 2.78-2.80
Ac 0.3415 0.3415 0.3415  15 Pd 3.25-3.61, 4 Cu 3.36-3.54
Ac 0.6585 0.6585 0.6585  15 Pd 3.25-3.61, 4 Cu 3.36-3.54
Cu 0.0000 0.5000 0.0000  8 Pd 2.59-2.63, 2 Cu 2.82
Cu 0.9078 0.9078 0.9078  1 Cu 2.48
Cu 0.0000 0.0000 0.5000  8 Pd 2.59-2.63, 2 Cu 2.82
Cu 0.5000 0.0000 0.0000  8 Pd 2.59-2.63, 2 Cu 2.82
Cu 0.0922 0.0922 0.0922  1 Cu 2.48



Material: LuPaPb2
Method: DFT, PBE-GGA
State: relaxed

Crystal system: tetragonal
Energy relative to the elements (kJ/mol of formula units): -31

Cell: 3.4395 3.4395 9.1235 Å, 90.00 90.00 90.00°
Last column: nearest neighbours and their distance in Å.
Fractional coordinates of all 4 atoms:
Pa 0.5000 0.5000 0.5000  8 Pb 3.38, 4 Pa 3.44
Pb 0.0000 0.0000 0.7567  4 Lu 3.29, 4 Pa 3.38, 4 Pb 3.44
Pb 0.0000 0.0000 0.2433  4 Lu 3.29, 4 Pa 3.38, 4 Pb 3.44
Lu 0.5000 0.5000 0.0000  8 Pb 3.29, 4 Lu 3.44



Material: Sc2ZnPb2
Method: DFT, PBE-GGA
State: relaxed

Crystal system: tetragonal
Energy relative to the elements (kJ/mol of formula units): -79

Cell: 7.4204 7.4204 4.3494 Å, 90.00 90.00 90.00°
Last column: nearest neighbours and their distance in Å.
Fractional coordinates of all 10 atoms:
Sc 0.6682 0.8318 0.5000  6 Pb 2.94-3.18
Sc 0.1682 0.6682 0.5000  6 Pb 2.94-3.18
Sc 0.8318 0.3318 0.5000  6 Pb 2.94-3.18
Sc 0.3318 0.1682 0.5000  6 Pb 2.94-3.18
Pb 0.8573 0.6427 0.0000  2 Zn 2.85, 6 Sc 2.94-3.18, 1 Pb 2.99
Pb 0.3573 0.8573 0.0000  2 Zn 2.85, 6 Sc 2.94-3.18, 1 Pb 2.99
Pb 0.1427 0.3573 0.0000  2 Zn 2.85, 6 Sc 2.94-3.18, 1 Pb 2.99
Pb 0.6427 0.1427 0.0000  2 Zn 2.85, 6 Sc 2.94-3.18, 1 Pb 2.99
Zn 0.0000 0.0000 0.0000  4 Pb 2.85
Zn 0.5000 0.5000 0.0000  4 Pb 2.85



Material: LiGaS2
Method: DFT, PBE-GGA
State: relaxed

Crystal system: orthorhombic
Calculated total energy (eV/atom): -3.8583

Cell: 8.6608 8.6608 5.3509 Å, 90.00 90.00 156.00°
Last column: nearest neighbours and their distance in Å.
Fractional coordinates of all 8 atoms:
Li 0.0649 0.9351 0.2500  2 S 2.30-2.50
Li 0.9351 0.0649 0.7500  2 S 2.30-2.50
S 0.7994 0.2006 0.7500  1 Ga 2.15, 1 Li 2.30
S 0.0824 0.9176 0.7500  2 Ga 2.36, 1 Li 2.50
S 0.2006 0.7994 0.2500  1 Ga 2.15, 1 Li 2.30
S 0.9176 0.0824 0.2500  2 Ga 2.36, 1 Li 2.50
Ga 0.6724 0.3276 0.7500  3 S 2.15-2.36
Ga 0.3276 0.6724 0.2500  3 S 2.15-2.36



no.,calculated density (g cm⁻³)
1,10.49
2,12.62
3,7.90
4,2.86